VASP calculation (GGA-PBE) on an optimized crystal structure of Ni2TePb.

Unit cell a=4.7989 b=4.7989 c=8.4064 alpha=73.42 beta=73.42 gamma=90.00
Last column: nearest neighbours and their distance in Å.
Element x y z (fractional)
1 Ni 0.5579 0.1250 0.2500  2 Te 2.43
2 Te 0.2500 0.7500 0.5000  4 Ni 2.43
3 Ni 0.1921 0.6250 0.2500  2 Te 2.43
4 Ni 0.8750 0.8079 0.7500  2 Te 2.43
5 Pb 0.0000 0.0000 0.0000  4 Ni 2.73
6 Ni 0.3750 0.4421 0.7500  2 Te 2.43
7 Te 0.5000 0.5000 0.0000  4 Ni 2.43
8 Pb 0.7500 0.2500 0.5000  4 Ni 2.73

## Properties
Polymorph energy (0 for the lowest one): 0.238 eV per atom
D(E_F): 1.82 states/eV/f.u.
Energy relative to the elements, uncorrected: 0.155 eV per atom

=====

VASP calculation (GGA-PBE) on an optimized crystal structure of KTcPd.

Unit cell a=5.9400 b=5.9400 c=9.6787 alpha=90.00 beta=90.00 gamma=120.00
Last column: nearest neighbours and their distance in Å.
Element x y z (fractional)
1 Pd 0.0000 0.0000 0.0000  2 Tc 2.42
2 K 0.6667 0.3333 0.7500  3 Tc 3.43
3 Pd 0.0000 0.0000 0.5000  2 Tc 2.42
4 Tc 0.0000 0.0000 0.7500  2 Pd 2.42
5 Tc 0.0000 0.0000 0.2500  2 Pd 2.42
6 K 0.3333 0.6667 0.2500  3 Tc 3.43

## Properties
Polymorph energy (0 for the lowest one): 1.519 eV per atom
Energy of formation: 1.76 eV per atom
D(E_F): 2.38 states/eV/f.u.

=====

VASP calculation (GGA-PBE) on an optimized crystal structure of CaC3I.

Unit cell a=4.2613 b=4.2613 c=4.2613 alpha=90.00 beta=90.00 gamma=90.00
Last column: nearest neighbours and their distance in Å.
Element x y z (fractional)
1 C 0.5000 0.0000 0.0000  2 I 2.13
2 Ca 0.5000 0.5000 0.5000  12 C 3.01
3 C 0.0000 0.5000 0.0000  2 I 2.13
4 C 0.0000 0.0000 0.5000  2 I 2.13
5 I 0.0000 0.0000 0.0000  6 C 2.13

## Properties
Polymorph energy (0 for the lowest one): 0.000 eV per atom
D(E_F): 4.80 states/eV/f.u.
Energy relative to the elements, uncorrected: 2.581 eV per atom

=====

VASP calculation (GGA-PBE) on an optimized crystal structure of CaBr.

Unit cell a=8.0042 b=7.5394 c=8.3940 alpha=90.00 beta=90.00 gamma=90.00
Last column: nearest neighbours and their distance in Å.
Element x y z (fractional)
1 Ca 0.0734 0.1540 0.6605  5 Br 2.98-3.11
2 Ca 0.4065 0.4789 0.8267  5 Br 3.09-3.27
3 Br 0.9297 0.8246 0.5194  5 Ca 2.98-3.27
4 Br 0.4297 0.6754 0.4806  5 Ca 2.98-3.27
5 Ca 0.9266 0.6540 0.8395  5 Br 2.98-3.11
6 Br 0.0703 0.3246 0.9806  5 Ca 2.98-3.27
7 Br 0.5703 0.1754 0.0194  5 Ca 2.98-3.27
8 Ca 0.4266 0.8460 0.1605  5 Br 2.98-3.11
9 Ca 0.9065 0.0211 0.1733  5 Br 3.09-3.27
10 Br 0.7387 0.3624 0.6614  5 Ca 3.01-3.13
11 Br 0.2387 0.1376 0.3386  5 Ca 3.01-3.13
12 Br 0.2613 0.8624 0.8386  5 Ca 3.01-3.13
13 Ca 0.5734 0.3460 0.3395  5 Br 2.98-3.11
14 Ca 0.0935 0.5211 0.3267  5 Br 3.09-3.27
15 Ca 0.5935 0.9789 0.6733  5 Br 3.09-3.27
16 Br 0.7613 0.6376 0.1614  5 Ca 3.01-3.13

## Properties
Energy relative to the elements, uncorrected: -1.274 eV per atom

=====

VASP calculation (GGA-PBE) on an optimized crystal structure of PrDyNiAu.

Unit cell a=3.8888 b=4.6404 c=5.5996 alpha=90.00 beta=110.32 gamma=90.00
Last column: nearest neighbours and their distance in Å.
Element x y z (fractional)
1 Ni 0.4188 0.0000 0.8377  2 Au 2.84, 3 Pr 2.89-3.06, 4 Dy 3.08
2 Dy 0.8628 0.5000 0.7256  3 Au 2.96-3.03, 4 Ni 3.08
3 Au 0.5747 0.5000 0.1494  2 Ni 2.84, 3 Dy 2.96-3.03, 4 Pr 3.11
4 Pr 0.1436 0.0000 0.2873  3 Ni 2.89-3.06, 4 Au 3.11

## Properties
Polymorph energy (0 for the lowest one): 0.000 eV per atom
Energy of formation: -0.56 eV per atom
D(E_F): 2.83 states/eV/f.u.

=====

VASP calculation (GGA-PBE) on an optimized crystal structure of DyY4Cd2.

Unit cell a=5.1427 b=5.1427 c=10.5154 alpha=75.85 beta=75.85 gamma=60.00
Last column: nearest neighbours and their distance in Å.
Element x y z (fractional)
1 Cd 0.6003 0.6003 0.1991  1 Dy 3.03, 7 Y 3.10-3.23
2 Y 0.8919 0.8919 0.3242  3 Cd 3.23, 3 Dy 3.46
3 Y 0.7041 0.7041 0.8876  4 Cd 3.10-3.14
4 Y 0.1081 0.1081 0.6758  3 Cd 3.23, 3 Dy 3.46
5 Dy 0.5000 0.5000 0.5000  2 Cd 3.03
6 Cd 0.3997 0.3997 0.8009  1 Dy 3.03, 7 Y 3.10-3.23
7 Y 0.2959 0.2959 0.1124  4 Cd 3.10-3.14

## Properties
Energy of formation: 0.19 eV per atom
D(E_F): 9.66 states/eV/f.u.

=====

VASP calculation (GGA-PBE) on an optimized crystal structure of Li6Ga2Ag.

Unit cell a=4.3334 b=8.2374 c=8.2434 alpha=90.00 beta=89.98 gamma=90.00
Last column: nearest neighbours and their distance in Å.
Element x y z (fractional)
1 Ag 0.5000 0.5000 0.0000  4 Li 2.68, 4 Ga 2.71
2 Ga 0.0001 0.3597 0.8612  2 Ag 2.71, 10 Li 2.76-2.97
3 Li 0.9998 0.6760 0.4751  1 Ag 2.68, 6 Li 2.75-2.99, 3 Ga 2.79-2.97
4 Li 0.5002 0.1760 0.0249  1 Ag 2.68, 6 Li 2.74-2.99, 3 Ga 2.79-2.97
5 Li 0.5003 0.4771 0.3243  1 Ag 2.68, 6 Li 2.74-2.99, 3 Ga 2.79-2.97
6 Li 0.0004 0.3097 0.1922  6 Li 2.74-2.80, 4 Ga 2.76-2.93
7 Li 0.4998 0.8240 0.9751  1 Ag 2.68, 6 Li 2.74-2.99, 3 Ga 2.79-2.97
8 Li 0.5004 0.1903 0.6922  6 Li 2.74-2.80, 4 Ga 2.76-2.93
9 Ag 0.0000 0.0000 0.5000  4 Li 2.68, 4 Ga 2.71
10 Li 0.0003 0.0229 0.8243  1 Ag 2.68, 6 Li 2.74-2.99, 3 Ga 2.79-2.97
11 Ga 0.5001 0.1403 0.3612  2 Ag 2.71, 10 Li 2.76-2.97
12 Li 0.4997 0.5229 0.6757  1 Ag 2.68, 6 Li 2.74-2.99, 3 Ga 2.79-2.97
13 Ga 0.4999 0.8597 0.6388  2 Ag 2.71, 10 Li 2.76-2.97
14 Ga 0.9999 0.6403 0.1388  2 Ag 2.71, 10 Li 2.76-2.97
15 Li 0.9996 0.6903 0.8078  6 Li 2.74-2.80, 4 Ga 2.76-2.93
16 Li 0.9997 0.9771 0.1757  1 Ag 2.68, 6 Li 2.74-2.99, 3 Ga 2.79-2.97
17 Li 0.0002 0.3240 0.5249  1 Ag 2.68, 6 Li 2.75-2.99, 3 Ga 2.79-2.97
18 Li 0.4996 0.8097 0.3078  6 Li 2.74-2.80, 4 Ga 2.76-2.93

## Properties
Polymorph energy (0 for the lowest one): 0.022 eV per atom
Energy of formation: -0.22 eV per atom
D(E_F): 1.58 states/eV/f.u.

=====

no.,M_tot (μB/f.u.)
1,0.00
2,3.73
3,0.00
4,0.00
5,0.00
6,0.00
7,0.00